First-principles (PBE-GGA) data for an optimized crystal structure of Al2Cd2In, as listed in Alexandria via LeMat-Bulk.

Results
* density: 5.71 Mg/m³
* offset from the most stable computed form: 6 meV/atom
* formation energy from the elements: 0.1664 eV per atom

Cell lengths 4.163, 4.163, 7.236 Å; angles 73.28, 73.28, 90.00 degrees
Positions (direct):
Cd: 0.394 0.394 0.213
Cd: 0.606 0.606 0.787
Al: 0.750 0.250 0.500
Al: 0.250 0.750 0.500
In: 0.000 0.000 0.000